one) Density functional theory data (PBE) for a geometry-optimized ZrCoSCl2 structure.

Values from the calculation:
space-group type: P4/mmm (123)
ρ: 3.32 Mg/m³

abc: 5.034 5.034 4.998
angles: 90.00 90.00 90.00
Element x y z (fractional)
S1 0.000 0.000 0.500
Co1 0.500 0.500 0.500
Zr1 0.000 0.000 0.000
Cl1 0.000 0.500 0.000
Cl2 0.500 0.000 0.000


two) Density functional theory data (PBE) for a geometry-optimized ZrCoSCl2 structure.

Values from the calculation:
space-group type: P4/mmm (123)
ρ: 4.71 Mg/m³

abc: 4.413 4.413 4.578
angles: 90.00 90.00 90.00
Element x y z (fractional)
S1 0.000 0.000 0.500
Co1 0.000 0.000 0.000
Zr1 0.500 0.500 0.500
Cl1 0.000 0.500 0.000
Cl2 0.500 0.000 0.000


Which of them is most stable? Easy: one).